Record 1
The following is a DFT calculation (PBE) of crystalline Ca2P7Ir12 at its relaxed geometry.

total magnetization: 0.0 μB/cell
energy relative to the elements: -0.59 eV/atom
energy above the lowest structure with this stoichiometry: 0.00 eV/f.u.

```
Ca2P7Ir12
1.0
-4.6734 -8.1570 1.9160
3.6771 1.4834 -8.7365
3.3922 -1.6750 1.1433
Ca P Ir
2 7 12
Cartesian
3.4322 -2.9835 -4.3300
-1.0364 -5.3650 -1.3472
1.6961 -0.8375 0.5717
2.7112 -1.4406 -6.8197
0.6996 -4.1580 -4.8323
1.7540 -0.8181 -3.0678
-0.3153 -6.9079 1.1425
1.6963 -4.1905 -0.8448
0.6419 -7.5304 -2.6094
-0.0086 -2.3824 -0.1308
-0.3952 -6.1905 -4.5625
-2.7825 -7.4838 0.6259
2.4044 -5.9661 -5.5464
2.7911 -2.1580 -1.1147
5.1783 -0.8647 -6.3031
2.8136 -0.0400 -4.9727
1.7140 -3.5293 -6.8221
0.7109 -2.8838 -2.9002
-0.4178 -8.3085 -0.7045
0.6818 -4.8192 1.1449
1.6849 -5.4647 -2.7770
```

---

Record 2
The following is a DFT calculation (PBE) of crystalline Rb2ReAsCl6 at its relaxed geometry.

total magnetization: 3.5 μB/cell
total DFT energy (no corrections): -3.8179 eV/atom

```
Rb2ReAsCl6
1.0
-4.2631 -3.2810 4.7319
5.2311 0.2537 4.8888
-1.4996 3.7322 6.6606
Re As Rb Cl
1 1 2 6
Cartesian
0.0000 0.0000 0.0000
0.4840 -1.5136 4.8103
-2.6393 -0.5312 8.1014
2.1078 1.2361 8.1799
-0.6915 1.5952 5.9068
0.1600 -0.8903 10.3744
0.2324 -0.7267 2.3094
0.7357 -2.3006 7.3113
-1.9841 -2.4325 4.7695
2.9521 -0.5947 4.8511
```